YMn3Au: optimized geometry, PBE-GGA.

Cell lengths 4.8262, 4.8262, 4.8262 Å; angles 90.00, 90.00, 90.00 degrees
Fractional positions:
Y 0.0000 0.0000 0.0000
Mn 0.0000 0.0000 0.5000
Mn 0.0000 0.5000 0.0000
Mn 0.5000 0.0000 0.0000
Au 0.5000 0.5000 0.5000

Symmetry: Pm-3m (221)
D(E_F) (states/eV/f.u.): 4.33
Calculated density (g/cm³): 6.66
Energy of formation (eV/atom): 1.612
Distance to the lowest polymorph of the same formula (meV per atom): 955.0

YMn4Au: optimized geometry, PBE-GGA.

Cell lengths 5.0733, 5.0733, 5.0733 Å; angles 60.00, 60.00, 60.00 degrees
Fractional positions:
Y 0.0000 0.0000 0.0000
Mn 0.3746 0.3746 0.3746
Mn 0.3746 0.3746 0.8761
Mn 0.3746 0.8761 0.3746
Mn 0.8761 0.3746 0.3746
Au 0.7500 0.7500 0.7500

Symmetry: F-43m (216)
D(E_F) (states/eV/f.u.): 8.68
Calculated density (g/cm³): 9.09
Energy of formation (eV/atom): 0.154

YMn2Au: optimized geometry, PBE-GGA.

Cell lengths 9.1983, 9.1983, 9.1983 Å; angles 20.24, 20.24, 20.24 degrees
Fractional positions:
Y 0.0000 0.0000 0.0000
Mn 0.2416 0.2416 0.2416
Mn 0.7584 0.7584 0.7584
Au 0.5000 0.5000 0.5000

Symmetry: R-3m (166)
D(E_F) (states/eV/f.u.): 4.13
Calculated density (g/cm³): 8.06
Energy of formation (eV/atom): 0.366
Distance to the lowest polymorph of the same formula (meV per atom): 482.9

Question: Which of these has the lowest energy of formation?
Answer: YMn4Au